i | Density functional theory data (GGA-PBE) for crystalline TaWI2N at its relaxed geometry.

Output
Magnetic moment   4.6 μB/cell

```
5
Lattice="5.6580 0.0000 0.0000 0.0000 5.6580 0.0000 0.0000 0.0000 3.8926" Properties=species:S:1:pos:R:3 pbc="T T T"
N 0.0000 0.0000 1.9463
I 0.0000 2.8290 0.0000
Ta 0.0000 0.0000 0.0000
I 2.8290 0.0000 0.0000
W 2.8290 2.8290 1.9463
```

ii | Density functional theory data (GGA-PBE) for crystalline TaWI2N at its relaxed geometry.

Output
Magnetic moment   2.3 μB/cell

```
5
Lattice="5.5712 0.0000 0.0000 0.0000 5.5712 0.0000 0.0000 0.0000 3.7935" Properties=species:S:1:pos:R:3 pbc="T T T"
I 2.7856 0.0000 0.0000
Ta 2.7856 2.7856 1.8967
W 0.0000 0.0000 0.0000
I 0.0000 2.7856 0.0000
N 0.0000 0.0000 1.8967
```

Which structure loses on stability? i does.